The following is a DFT calculation (PBE with a Hubbard U) of crystalline V3SbF at its relaxed geometry.

Cell lengths 5.3402, 5.3402, 5.3402 Å; angles 90.00, 90.00, 90.00 degrees
With the nearest neighbours (Å) after each atom.
Element x y z (fractional)
V 0.0000 0.0000 0.5000  2 Sb 2.67
V 0.0000 0.5000 0.0000  2 Sb 2.67
V 0.5000 0.0000 0.0000  2 Sb 2.67
Sb 0.0000 0.0000 0.0000  6 V 2.67
F 0.5000 0.5000 0.5000  12 V 3.78

Values from the calculation:
uncorrected energy	-4.600	eV per atom
SG	Pm-3m (221)
relative energy among the computed polymorphs	390	meV/atom
calculated volume	152.29	Å³/cell